Record 1
A plane-wave DFT calculation with GGA-PBE was carried out for a geometry-optimized AcEu3Ag structure.

The magnetization is 22.6 Bohr magnetons per cell. Its crystal system is cubic. The calculation puts the formation energy from the elements at 0.06 eV per atom. For the electronic total energy, the calculation gives -37.506 eV per cell.

It has space group Pm-3m (No. 221), with a = 5.9778 Å, b = 5.9778 Å, c = 5.9778 Å, α = 90.00°, β = 90.00° and γ = 90.00°. Symmetry generates all atoms from Ac at (0.0000, 0.0000, 0.0000), Eu at (0.0000, 0.5000, 0.5000) and Ag at (0.5000, 0.5000, 0.5000).

***

Record 2
A plane-wave DFT calculation with GGA-PBE was carried out for a geometry-optimized ZnIn2Sb2 structure.

The magnetization is 0.0 Bohr magnetons per cell. As for the distance to the lowest polymorph of the same formula: 0.050 eV/atom. Its crystal system is tetragonal. For the electronic total energy, the calculation gives -27.910 eV per cell.

It has space group P4/mbm (No. 127), with a = 8.2205 Å, b = 8.2205 Å, c = 4.0269 Å, α = 90.00°, β = 90.00° and γ = 90.00°. Symmetry generates all atoms from Zn at (0.0000, 0.0000, 0.0000), In at (0.1559, 0.3441, 0.0000) and Sb at (0.1413, 0.6413, 0.5000).

***

Record 3
A plane-wave DFT calculation with GGA-PBE was carried out for a geometry-optimized CaAl2Ag8 structure.

The magnetization is 0.0 Bohr magnetons per cell. Its crystal system is tetragonal. The calculation puts the formation energy from the elements at 0.17 eV per atom. For the electronic total energy, the calculation gives -30.377 eV per cell.

It has space group P4/mmm (No. 123), with a = 5.6380 Å, b = 5.6380 Å, c = 8.4387 Å, α = 90.00°, β = 90.00° and γ = 90.00°. Symmetry generates all atoms from Ca at (0.0000, 0.0000, 0.0000), Al at (0.0000, 0.5000, 0.5000) and Ag at (0.2516, 0.2516, 0.2909).

***

Record 4
A plane-wave DFT calculation with GGA-PBE was carried out for a geometry-optimized PuTh2Co9 structure.

The magnetization is 9.5 Bohr magnetons per cell. Its crystal system is trigonal. The calculation puts the formation energy from the elements at -0.14 eV per atom. For the electronic total energy, the calculation gives -284.430 eV per cell.

It has space group R-3m (No. 166, hexagonal axes), with a = 4.9597 Å, b = 4.9597 Å, c = 24.9605 Å, α = 90.00°, β = 90.00° and γ = 120.00°. Symmetry generates all atoms from Pu at (0.0000, 0.0000, 0.0000), Th at (0.0000, 0.0000, 0.1364), Co at (0.0000, 0.0000, 0.3332), Co at (0.0000, 0.0000, 0.5000) and Co at (0.0015, 0.5008, 0.0789).

***

Record 5
A plane-wave DFT calculation with GGA-PBE was carried out for a geometry-optimized TlCu3 structure.

The magnetization is 0.0 Bohr magnetons per cell. Its crystal system is hexagonal. The calculation puts the formation energy from the elements at 0.20 eV per atom. For the electronic total energy, the calculation gives -27.698 eV per cell.

It has space group P6_3/mmc (No. 194), with a = 5.7122 Å, b = 5.7122 Å, c = 4.3110 Å, α = 90.00°, β = 90.00° and γ = 120.00°. Symmetry generates all atoms from Tl at (0.3333, 0.6667, 0.2500) and Cu at (0.1495, 0.2990, 0.7500).

***

Record 6
A plane-wave DFT calculation with GGA-PBE was carried out for a geometry-optimized In2Co2Cu structure.

The magnetization is 0.0 Bohr magnetons per cell. As for the distance to the lowest polymorph of the same formula: 0.060 eV/atom. Its crystal system is trigonal. The calculation puts the formation energy from the elements at 0.19 eV per atom. For the electronic total energy, the calculation gives -22.837 eV per cell.

It has space group P3m1 (No. 156), with a = 4.2907 Å, b = 4.2907 Å, c = 5.0949 Å, α = 90.00°, β = 90.00° and γ = 120.00°. Symmetry generates all atoms from In at (0.0000, 0.0000, 0.0000), In at (0.3333, 0.6667, 0.5586), Co at (0.3333, 0.6667, 0.0611), Co at (0.6667, 0.3333, 0.8118) and Cu at (0.6667, 0.3333, 0.2972).

***

Record 7
A plane-wave DFT calculation with GGA-PBE was carried out for a geometry-optimized K2BaCr structure.

The magnetization is 20.6 Bohr magnetons per cell. As for the distance to the lowest polymorph of the same formula: 0.152 eV/atom. Its crystal system is tetragonal. The calculation puts the formation energy from the elements at 0.69 eV per atom. For the electronic total energy, the calculation gives -43.997 eV per cell.

It has space group I-42d (No. 122), with a = 5.3064 Å, b = 5.3064 Å, c = 28.7538 Å, α = 90.00°, β = 90.00° and γ = 90.00°. Symmetry generates all atoms from K at (0.2219, 0.7500, 0.1250), Ba at (0.0000, 0.0000, 0.5000) and Cr at (0.0000, 0.0000, 0.0000).

***

Record 8
A plane-wave DFT calculation with GGA-PBE was carried out for a geometry-optimized SrAcMg structure.

The magnetization is 0.0 Bohr magnetons per cell. As for the distance to the lowest polymorph of the same formula: 0.142 eV/atom. Its crystal system is trigonal. The calculation puts the formation energy from the elements at 0.10 eV per atom. For the electronic total energy, the calculation gives -7.079 eV per cell.

It has space group P3m1 (No. 156), with a = 5.9984 Å, b = 5.9984 Å, c = 3.8366 Å, α = 90.00°, β = 90.00° and γ = 120.00°. Symmetry generates all atoms from Sr at (0.0000, 0.0000, 0.0000), Ac at (0.3333, 0.6667, 0.4352) and Mg at (0.6667, 0.3333, 0.8076).